Arrangement w

First-principles (GGA-PBE) data for crystalline ScGa3Au3 at its relaxed geometry, as listed in Alexandria.

Properties
Total moment: 0.000 μB/atom
DOS at the Fermi energy: 18.36 states/eV/cell

```
data_ScGa3Au3
_symmetry_space_group_name_H-M 'R -3'
_symmetry_Int_Tables_number 148
_symmetry_space_group_name_Hall '-R 3'
_cell_length_a 7.9030
_cell_length_b 7.9030
_cell_length_c 16.3041
_cell_angle_alpha 90.00
_cell_angle_beta 90.00
_cell_angle_gamma 120.00
loop_
_atom_site_label
_atom_site_type_symbol
_atom_site_fract_x
_atom_site_fract_y
_atom_site_fract_z
Sc1 Sc 0.0000 0.0000 0.1665
Ga1 Ga 0.9996 0.3258 0.6009
Au1 Au 0.9996 0.3311 0.0930
```

Arrangement x

First-principles (GGA-PBE) data for crystalline ScGa3Au3 at its relaxed geometry, as listed in Alexandria.

Properties
Total moment: 0.055 μB/atom
DOS at the Fermi energy: 10.79 states/eV/cell

```
data_ScGa3Au3
_symmetry_space_group_name_H-M 'P m -3 n'
_symmetry_Int_Tables_number 223
_symmetry_space_group_name_Hall '-P 4n 2 3'
_cell_length_a 7.0161
_cell_length_b 7.0161
_cell_length_c 7.0161
_cell_angle_alpha 90.00
_cell_angle_beta 90.00
_cell_angle_gamma 90.00
loop_
_atom_site_label
_atom_site_type_symbol
_atom_site_fract_x
_atom_site_fract_y
_atom_site_fract_z
Sc1 Sc 0.0000 0.0000 0.0000
Ga1 Ga 0.0000 0.2500 0.5000
Au1 Au 0.0000 0.5000 0.2500
```

arrangement w has the most favorable energy; the next structure is 468 meV/atom above.

Arrangement w

First-principles (GGA-PBE) data for crystalline ScGa2Au8 at its relaxed geometry, as listed in Alexandria.

Properties
Total moment: 0.000 μB/atom
DOS at the Fermi energy: 3.70 states/eV/cell

```
data_ScGa2Au8
_symmetry_space_group_name_H-M 'P -1'
_symmetry_Int_Tables_number 2
_cell_length_a 5.1321
_cell_length_b 5.1410
_cell_length_c 7.7633
_cell_angle_alpha 79.99
_cell_angle_beta 85.70
_cell_angle_gamma 78.57
loop_
_symmetry_equiv_pos_as_xyz
'x,y,z'
'-x,-y,-z'
loop_
_atom_site_label
_atom_site_type_symbol
_atom_site_fract_x
_atom_site_fract_y
_atom_site_fract_z
Sc1 Sc 0.0000 0.0000 0.0000
Ga1 Ga 0.2817 0.3553 0.5655
Au1 Au 0.0734 0.4342 0.1894
Au2 Au 0.1664 0.8626 0.3676
Au3 Au 0.3859 0.8309 0.7132
Au4 Au 0.4562 0.2745 0.9168
```

Arrangement x

First-principles (GGA-PBE) data for crystalline ScGa2Au8 at its relaxed geometry, as listed in Alexandria.

Properties
Total moment: 0.000 μB/atom
DOS at the Fermi energy: 6.00 states/eV/cell

```
data_ScGa2Au8
_symmetry_space_group_name_H-M 'C 1 2/m 1'
_symmetry_Int_Tables_number 12
_cell_length_a 15.0952
_cell_length_b 3.9821
_cell_length_c 6.8877
_cell_angle_alpha 90.00
_cell_angle_beta 106.42
_cell_angle_gamma 90.00
loop_
_symmetry_equiv_pos_as_xyz
'x,y,z'
'-x,-y,-z'
'-x,y,-z'
'x,-y,z'
'x+1/2,y+1/2,z'
'-x+1/2,-y+1/2,-z'
'-x+1/2,y+1/2,-z'
'x+1/2,-y+1/2,z'
loop_
_atom_site_label
_atom_site_type_symbol
_atom_site_fract_x
_atom_site_fract_y
_atom_site_fract_z
Sc1 Sc 0.0000 0.0000 0.0000
Ga1 Ga 0.2231 0.5000 0.6618
Au1 Au 0.0349 0.5000 0.7197
Au2 Au 0.1102 0.0000 0.4501
Au3 Au 0.1393 0.5000 0.1710
Au4 Au 0.1758 0.0000 0.8928
```

arrangement w has the most favorable energy; the next structure is 8 meV/atom above.

Arrangement w

First-principles (GGA-PBE) data for crystalline Sc4Ga2Au at its relaxed geometry, as listed in Alexandria.

Properties
Total moment: 0.000 μB/atom
DOS at the Fermi energy: 12.49 states/eV/cell

```
data_Sc4Ga2Au
_symmetry_space_group_name_H-M 'R -3 m'
_symmetry_Int_Tables_number 166
_symmetry_space_group_name_Hall '-R 3 2"'
_cell_length_a 4.7307
_cell_length_b 4.7307
_cell_length_c 23.0266
_cell_angle_alpha 90.00
_cell_angle_beta 90.00
_cell_angle_gamma 120.00
loop_
_atom_site_label
_atom_site_type_symbol
_atom_site_fract_x
_atom_site_fract_y
_atom_site_fract_z
Sc1 Sc 0.0000 0.0000 0.1202
Sc2 Sc 0.0000 0.0000 0.3718
Ga1 Ga 0.0000 0.0000 0.2520
Au1 Au 0.0000 0.0000 0.5000
```

Arrangement x

First-principles (GGA-PBE) data for crystalline Sc4Ga2Au at its relaxed geometry, as listed in Alexandria.

Properties
Total moment: 0.000 μB/atom
DOS at the Fermi energy: 17.65 states/eV/cell

```
data_Sc4Ga2Au
_symmetry_space_group_name_H-M 'R -3 m'
_symmetry_Int_Tables_number 166
_symmetry_space_group_name_Hall '-R 3 2"'
_cell_length_a 4.5790
_cell_length_b 4.5790
_cell_length_c 26.2267
_cell_angle_alpha 90.00
_cell_angle_beta 90.00
_cell_angle_gamma 120.00
loop_
_atom_site_label
_atom_site_type_symbol
_atom_site_fract_x
_atom_site_fract_y
_atom_site_fract_z
Sc1 Sc 0.0000 0.0000 0.1194
Sc2 Sc 0.0000 0.0000 0.2973
Ga1 Ga 0.0000 0.0000 0.4023
Au1 Au 0.0000 0.0000 0.5000
```

arrangement w has the most favorable energy; the next structure is 133 meV/atom above.

Arrangement w

First-principles (GGA-PBE) data for crystalline Ga3AuSe at its relaxed geometry, as listed in Alexandria.

Properties
Total moment: 0.000 μB/atom
DOS at the Fermi energy: 0.42 states/eV/cell

```
data_Ga3AuSe
_symmetry_space_group_name_H-M 'P m -3 m'
_symmetry_Int_Tables_number 221
_symmetry_space_group_name_Hall '-P 4 2 3'
_cell_length_a 4.9531
_cell_length_b 4.9531
_cell_length_c 4.9531
_cell_angle_alpha 90.00
_cell_angle_beta 90.00
_cell_angle_gamma 90.00
loop_
_atom_site_label
_atom_site_type_symbol
_atom_site_fract_x
_atom_site_fract_y
_atom_site_fract_z
Ga1 Ga 0.0000 0.0000 0.5000
Au1 Au 0.0000 0.0000 0.0000
Se1 Se 0.5000 0.5000 0.5000
```

Arrangement x

First-principles (GGA-PBE) data for crystalline Ga3AuSe at its relaxed geometry, as listed in Alexandria.

Properties
Total moment: 0.000 μB/atom
DOS at the Fermi energy: 2.15 states/eV/cell

```
data_Ga3AuSe
_symmetry_space_group_name_H-M 'P m -3 m'
_symmetry_Int_Tables_number 221
_symmetry_space_group_name_Hall '-P 4 2 3'
_cell_length_a 5.0530
_cell_length_b 5.0530
_cell_length_c 5.0530
_cell_angle_alpha 90.00
_cell_angle_beta 90.00
_cell_angle_gamma 90.00
loop_
_atom_site_label
_atom_site_type_symbol
_atom_site_fract_x
_atom_site_fract_y
_atom_site_fract_z
Ga1 Ga 0.0000 0.0000 0.5000
Au1 Au 0.5000 0.5000 0.5000
Se1 Se 0.0000 0.0000 0.0000
```

arrangement w has the most favorable energy; the next structure is 496 meV/atom above.